# Tb2CI, PBEsol geometry, DFT meta-GGA SCAN
# Formation energy (no corrections) in eV per atom: -0.90
# Total magnetic moment in μB/f.u.: 0.00
# N(E_F) in states/eV/f.u.: 1.90
data_Tb2CI
_space_group_name_H-M_alt 'P 63/m m c'
_space_group_IT_number 194
_space_group_name_Hall '-P 6c 2c'
_cell_length_a 3.7276
_cell_length_b 3.7276
_cell_length_c 14.5574
_cell_angle_alpha 90.00
_cell_angle_beta 90.00
_cell_angle_gamma 120.00
loop_
_atom_site_label
_atom_site_type_symbol
_atom_site_fract_x
_atom_site_fract_y
_atom_site_fract_z
Tb1 Tb 0.3333 0.6667 0.0871
C1 C 0.0000 0.0000 0.0000
I1 I 0.3333 0.6667 0.7500